Record 1
A relaxed Nd5Dy3Ho crystal. Source: the Alexandria database, functional PBE.

Unit cell a=11.9177 b=11.8574 c=9.9588 alpha=90.00 beta=105.66 gamma=90.00
Space group C2/m (No. 12)
One atom of each set of equivalent atoms:
Nd 0.0000 0.2470 0.0000 [4 per cell]
Nd 0.1532 0.2498 0.6473 [8 per cell]
Nd 0.2419 0.0000 0.4188 [4 per cell]
Nd 0.2491 0.0000 0.0823 [4 per cell]
Dy 0.0002 0.0000 0.1758 [4 per cell]
Dy 0.0000 0.0000 0.5000 [2 per cell]
Dy 0.0000 0.5000 0.0000 [2 per cell]
Dy 0.0078 0.5000 0.3398 [4 per cell]
Ho 0.2383 0.5000 0.2331 [4 per cell]

Output
The value obtained for the spin magnetization is 0.000 μB per formula unit. The energy relative to the elements comes out at 0.48 eV per atom. As for the crystal system: monoclinic.


Record 2
A relaxed Rb2CeU2Te6 crystal. Source: the Alexandria database, functional PBE.

Unit cell a=7.7905 b=13.5523 c=9.1532 alpha=90.00 beta=106.30 gamma=90.00
Space group C2/m (No. 12)
One atom of each set of equivalent atoms:
Rb 0.0000 0.1645 0.0000 [4 per cell]
Ce 0.0000 0.0000 0.5000 [2 per cell]
U 0.0000 0.3333 0.5000 [4 per cell]
Te 0.2228 0.5000 0.6991 [4 per cell]
Te 0.2359 0.1700 0.6988 [8 per cell]

Output
The value obtained for the spin magnetization is 6.000 μB per formula unit. Its total energy is -5.460 eV per atom. As for the crystal system: monoclinic.


Number 2 is which compound? Rb2CeU2Te6


spin magnetization of number 1 (Nd5Dy3Ho)? 0.000 μB per formula unit


Number 1 is which compound? Nd5Dy3Ho


Look up the spin magnetization of the first one. 0.000 μB per formula unit